# 1
CoBr2: relaxed, PBE-GGA.

Lattice parameters (Å, degrees): 4.183 4.183 9.918 90.00 90.00 120.00
Site moments in Bohr magnetons follow the coordinates.
Fractional coordinates of all 6 atoms:
Co  0.333  0.667  0.250  2.32
Co  0.667  0.333  0.750  2.32
Br  0.000  0.000  0.000  0.28
Br  0.667  0.333  0.250  0.21
Br  0.333  0.667  0.750  0.21
Br  0.000  0.000  0.500  0.28

Formation energy from raw total energies: 1.0 eV/f.u.
SG: P6_3/mmc
ρ: 4.834 Mg/m³
M_tot: 6.00 μB per cell

=====

# 2
CoBr2: relaxed, PBE-GGA.

Lattice parameters (Å, degrees): 14.667 14.667 3.539 90.00 90.00 166.73
Site moments in Bohr magnetons follow the coordinates.
Fractional coordinates of all 6 atoms:
Br  0.576  0.424  0.750  0.19
Br  0.319  0.681  0.750  0.21
Br  0.681  0.319  0.250  0.21
Br  0.424  0.576  0.250  0.19
Co  0.122  0.878  0.250  2.37
Co  0.878  0.122  0.750  2.37

Formation energy from raw total energies: -0.1 eV/f.u.
SG: Cmcm
ρ: 4.157 Mg/m³
M_tot: 5.84 μB per cell

=====

# 3
CoBr5: relaxed, PBE-GGA.

Lattice parameters (Å, degrees): 8.219 8.219 7.759 85.59 85.59 24.19
Site moments in Bohr magnetons follow the coordinates.
Fractional coordinates of all 6 atoms:
Br  0.997  0.997  0.957  0.17
Br  0.947  0.947  0.654  -0.03
Br  0.397  0.397  0.376  -0.04
Br  0.667  0.667  0.162  0.08
Br  0.681  0.681  0.735  0.09
Co  0.145  0.145  0.949  1.95

Formation energy from raw total energies: -0.1 eV/f.u.
SG: Cm
ρ: 3.556 Mg/m³
M_tot: 2.39 μB per cell

=====

# 4
Co3Br4: relaxed, PBE-GGA.

Lattice parameters (Å, degrees): 5.687 5.687 5.045 90.00 90.00 120.00
Site moments in Bohr magnetons follow the coordinates.
Fractional coordinates of all 7 atoms:
Br  0.000  0.000  0.750  0.08
Br  0.667  0.333  0.500  0.10
Br  0.000  0.000  0.250  0.08
Br  0.333  0.667  0.500  0.10
Co  0.500  0.500  0.000  2.08
Co  0.500  0.000  0.000  2.08
Co  0.000  0.500  0.000  2.08

Formation energy from raw total energies: 5.7 eV/f.u.
SG: P6/mmm
ρ: 5.833 Mg/m³
M_tot: 6.63 μB per cell

=====

# 5
Co2Br: relaxed, PBE-GGA.

Lattice parameters (Å, degrees): 5.329 5.329 5.329 126.76 126.76 78.64
Site moments in Bohr magnetons follow the coordinates.
Fractional coordinates of all 6 atoms:
Co  0.815  0.315  0.130  1.70
Co  0.685  0.815  0.500  1.70
Co  0.315  0.185  0.500  1.70
Co  0.185  0.685  0.870  1.70
Br  0.750  0.750  0.000  0.10
Br  0.250  0.250  0.000  0.10

Formation energy from raw total energies: 2.0 eV/f.u.
SG: I4/mcm
Polymorph energy (0 for the lowest one): 0.663 eV/atom
ρ: 6.987 Mg/m³
M_tot: 6.92 μB per cell

=====

# 6
CoBr4: relaxed, PBE-GGA.

Lattice parameters (Å, degrees): 6.146 6.146 6.146 117.15 117.15 95.02
Site moments in Bohr magnetons follow the coordinates.
Fractional coordinates of all 5 atoms:
Br  0.731  0.731  0.000  0.15
Br  0.269  0.269  0.000  0.15
Br  0.250  0.750  0.500  0.14
Br  0.750  0.250  0.500  0.14
Co  0.000  0.000  0.000  2.29

Formation energy from raw total energies: 1.9 eV/f.u.
SG: I4/mmm
ρ: 3.685 Mg/m³
M_tot: 3.18 μB per cell

=====

# 7
Co2Br: relaxed, PBE-GGA.

Lattice parameters (Å, degrees): 4.177 4.177 9.227 77.81 77.81 47.89
Site moments in Bohr magnetons follow the coordinates.
Fractional coordinates of all 6 atoms:
Br  0.805  0.805  0.706  0.11
Br  0.195  0.195  0.294  0.11
Co  0.161  0.161  0.942  1.85
Co  0.839  0.839  0.058  1.85
Co  0.475  0.475  0.871  1.83
Co  0.525  0.525  0.129  1.83

Formation energy from raw total energies: 0.5 eV/f.u.
SG: C2/m
Polymorph energy (0 for the lowest one): 0.187 eV/atom
ρ: 5.652 Mg/m³
M_tot: 7.65 μB per cell

=====

# 8
CoBr2: relaxed, PBE-GGA.

Lattice parameters (Å, degrees): 7.630 7.630 7.630 155.14 155.14 35.45
Site moments in Bohr magnetons follow the coordinates.
Fractional coordinates of all 3 atoms:
Br  0.391  0.391  0.000  0.25
Br  0.609  0.609  0.000  0.25
Co  0.000  0.000  0.000  2.37

Formation energy from raw total energies: 0.4 eV/f.u.
SG: I4/mmm
ρ: 4.631 Mg/m³
M_tot: 3.01 μB per cell

=====

# 9
Co4Br5: relaxed, PBE-GGA.

Lattice parameters (Å, degrees): 7.702 7.702 7.702 92.83 92.83 154.34
Site moments in Bohr magnetons follow the coordinates.
Fractional coordinates of all 9 atoms:
Br  0.333  0.667  0.000  0.02
Br  0.667  0.333  0.000  0.02
Br  0.333  0.333  0.666  0.02
Br  0.667  0.667  0.334  0.02
Br  0.000  0.000  0.000  0.01
Co  0.000  0.613  0.613  1.96
Co  0.387  0.000  0.387  1.96
Co  0.000  0.387  0.387  1.96
Co  0.613  0.000  0.613  1.96

Formation energy from raw total energies: 6.8 eV/f.u.
SG: I4/mmm
ρ: 5.470 Mg/m³
M_tot: 8.07 μB per cell

=====

# 10
Co2Br: relaxed, PBE-GGA.

Lattice parameters (Å, degrees): 3.314 3.314 5.214 90.00 90.00 120.00
Site moments in Bohr magnetons follow the coordinates.
Fractional coordinates of all 3 atoms:
Co  0.333  0.667  0.381  1.83
Co  0.667  0.333  0.619  1.83
Br  0.000  0.000  0.000  0.07

Formation energy from raw total energies: 1.6 eV/f.u.
SG: P-3m1
Polymorph energy (0 for the lowest one): 0.534 eV/atom
ρ: 6.623 Mg/m³
M_tot: 3.73 μB per cell

=====

# 11
Co2Br: relaxed, PBE-GGA.

Lattice parameters (Å, degrees): 5.118 5.118 5.118 60.00 60.00 60.00
Site moments in Bohr magnetons follow the coordinates.
Fractional coordinates of all 6 atoms:
Br  0.750  0.750  0.750  0.28
Br  0.500  0.500  0.500  0.28
Co  0.625  0.125  0.125  2.10
Co  0.125  0.125  0.625  2.10
Co  0.125  0.125  0.125  2.10
Co  0.125  0.625  0.125  2.10

Formation energy from raw total energies: 2.5 eV/f.u.
SG: Fd-3m
Polymorph energy (0 for the lowest one): 0.852 eV/atom
ρ: 6.928 Mg/m³
M_tot: 9.06 μB per cell

=====

# 12
CoBr2: relaxed, PBE-GGA.

Lattice parameters (Å, degrees): 4.640 4.640 3.323 90.00 90.00 90.00
Site moments in Bohr magnetons follow the coordinates.
Fractional coordinates of all 3 atoms:
Co  0.000  0.000  0.000  2.36
Br  0.500  0.000  0.500  0.20
Br  0.000  0.500  0.500  0.20

Formation energy from raw total energies: 1.0 eV/f.u.
SG: P4/mmm
ρ: 5.077 Mg/m³
M_tot: 2.88 μB per cell

=====

# 13
Co2Br: relaxed, PBE-GGA.

Lattice parameters (Å, degrees): 10.320 10.320 3.440 90.00 90.00 161.48
Site moments in Bohr magnetons follow the coordinates.
Fractional coordinates of all 6 atoms:
Co  0.748  0.252  0.750  1.83
Co  0.252  0.748  0.250  1.83
Co  0.665  0.335  0.250  2.04
Co  0.335  0.665  0.750  2.04
Br  0.099  0.901  0.750  0.15
Br  0.901  0.099  0.250  0.15

Formation energy from raw total energies: 0.9 eV/f.u.
SG: Cmcm
Polymorph energy (0 for the lowest one): 0.304 eV/atom
ρ: 5.643 Mg/m³
M_tot: 8.09 μB per cell

=====

# 14
CoBr2: relaxed, PBE-GGA.

Lattice parameters (Å, degrees): 9.197 9.197 5.320 90.00 90.00 157.13
Site moments in Bohr magnetons follow the coordinates.
Fractional coordinates of all 6 atoms:
Co  0.317  0.683  0.750  2.37
Co  0.683  0.317  0.250  2.37
Br  0.290  0.710  0.250  0.19
Br  0.906  0.094  0.750  0.21
Br  0.094  0.906  0.250  0.21
Br  0.710  0.290  0.750  0.19

Formation energy from raw total energies: -0.6 eV/f.u.
SG: Cmcm
ρ: 4.153 Mg/m³
M_tot: 5.85 μB per cell

=====

# 15
Co5Br3: relaxed, PBE-GGA.

Lattice parameters (Å, degrees): 9.522 9.522 4.219 90.00 90.00 120.00
Site moments in Bohr magnetons follow the coordinates.
Fractional coordinates of all 16 atoms:
Co  0.149  0.000  0.250  1.94
Co  0.667  0.333  0.500  2.15
Co  0.667  0.333  0.000  2.15
Co  0.000  0.149  0.250  1.94
Co  0.851  0.000  0.750  1.94
Co  0.149  0.149  0.750  1.94
Co  0.000  0.851  0.750  1.94
Co  0.851  0.851  0.250  1.94
Co  0.333  0.667  0.500  2.15
Co  0.333  0.667  0.000  2.15
Br  0.000  0.320  0.750  0.15
Br  0.320  0.320  0.250  0.15
Br  0.680  0.000  0.250  0.15
Br  0.680  0.680  0.750  0.15
Br  0.320  0.000  0.750  0.15
Br  0.000  0.680  0.250  0.15

Formation energy from raw total energies: 5.5 eV/f.u.
SG: P6_3/mcm
ρ: 5.358 Mg/m³
M_tot: 21.60 μB per cell

=====

# 16
CoBr2: relaxed, PBE-GGA.

Lattice parameters (Å, degrees): 9.793 9.793 9.793 151.86 148.29 42.91
Site moments in Bohr magnetons follow the coordinates.
Fractional coordinates of all 6 atoms:
Br  0.063  0.813  0.250  0.10
Br  0.259  0.009  0.250  0.01
Br  0.741  0.991  0.750  0.01
Br  0.937  0.187  0.750  0.10
Co  0.927  0.677  0.250  2.05
Co  0.073  0.323  0.750  2.05

Formation energy from raw total energies: 1.3 eV/f.u.
SG: Imma
ρ: 3.128 Mg/m³
M_tot: 4.54 μB per cell

=====

# 17
CoBr2: relaxed, PBE-GGA.

Lattice parameters (Å, degrees): 7.322 7.322 7.864 87.18 87.18 28.00
Site moments in Bohr magnetons follow the coordinates.
Fractional coordinates of all 6 atoms:
Co  0.254  0.254  0.950  2.42
Co  0.866  0.866  0.637  2.34
Br  0.900  0.900  0.930  0.22
Br  0.701  0.701  0.709  0.22
Br  0.428  0.428  0.464  0.18
Br  0.685  0.685  0.143  0.22

Formation energy from raw total energies: -0.6 eV/f.u.
SG: Cm
ρ: 3.675 Mg/m³
M_tot: 6.00 μB per cell

=====

# 18
Co2Br: relaxed, PBE-GGA.

Lattice parameters (Å, degrees): 4.056 4.056 3.054 90.00 90.00 120.00
Site moments in Bohr magnetons follow the coordinates.
Fractional coordinates of all 3 atoms:
Co  0.667  0.333  0.255  1.62
Co  0.333  0.667  0.745  1.62
Br  0.000  0.000  0.000  0.09

Formation energy from raw total energies: 2.4 eV/f.u.
SG: P-3m1
Polymorph energy (0 for the lowest one): 0.817 eV/atom
ρ: 7.549 Mg/m³
M_tot: 3.19 μB per cell

=====

# 19
CoBr5: relaxed, PBE-GGA.

Lattice parameters (Å, degrees): 5.144 5.144 7.955 90.00 90.00 120.00
Site moments in Bohr magnetons follow the coordinates.
Fractional coordinates of all 6 atoms:
Br  0.667  0.333  0.500  0.04
Br  0.333  0.667  0.500  0.04
Br  0.000  0.679  0.000  0.00
Br  0.321  0.321  0.000  0.00
Br  0.679  0.000  0.000  0.00
Co  0.000  0.000  0.500  2.25

Formation energy from raw total energies: 3.4 eV/f.u.
SG: P-62m
ρ: 4.176 Mg/m³
M_tot: 2.42 μB per cell

=====

# 20
CoBr2: relaxed, PBE-GGA.

Lattice parameters (Å, degrees): 6.178 6.178 6.178 60.00 60.00 60.00
Site moments in Bohr magnetons follow the coordinates.
Fractional coordinates of all 6 atoms:
Br  0.625  0.125  0.125  -0.06
Br  0.125  0.125  0.125  -0.06
Br  0.125  0.625  0.125  -0.06
Br  0.125  0.125  0.625  -0.06
Co  0.500  0.500  0.500  2.10
Co  0.750  0.750  0.750  2.10

Formation energy from raw total energies: 4.3 eV/f.u.
SG: Fd-3m
ρ: 4.357 Mg/m³
M_tot: 4.03 μB per cell

=====

# 21
CoBr2: relaxed, PBE-GGA.

Lattice parameters (Å, degrees): 8.627 8.627 8.053 58.56 58.56 22.88
Site moments in Bohr magnetons follow the coordinates.
Fractional coordinates of all 6 atoms:
Br  0.891  0.891  0.340  0.07
Br  0.882  0.882  0.928  0.07
Br  0.118  0.118  0.072  0.07
Br  0.109  0.109  0.660  0.07
Co  0.497  0.497  0.860  1.76
Co  0.503  0.503  0.140  1.76

Formation energy from raw total energies: -0.5 eV/f.u.
SG: C2/m
ρ: 3.681 Mg/m³
M_tot: 3.93 μB per cell

=====

# 22
Co2Br: relaxed, PBE-GGA.

Lattice parameters (Å, degrees): 5.775 5.775 5.775 90.00 90.00 90.00
Site moments in Bohr magnetons follow the coordinates.
Fractional coordinates of all 12 atoms:
Co  0.383  0.117  0.117  1.56
Co  0.617  0.617  0.383  1.56
Co  0.617  0.883  0.883  1.56
Co  0.117  0.617  0.117  1.56
Co  0.117  0.883  0.617  1.56
Co  0.883  0.117  0.383  1.56
Co  0.383  0.383  0.617  1.56
Co  0.883  0.383  0.883  1.56
Br  0.500  0.000  0.500  0.06
Br  0.000  0.000  0.000  0.06
Br  0.500  0.500  0.000  0.06
Br  0.000  0.500  0.500  0.06

Formation energy from raw total energies: 3.0 eV/f.u.
SG: Pa-3
Polymorph energy (0 for the lowest one): 1.001 eV/atom
ρ: 6.821 Mg/m³
M_tot: 12.37 μB per cell

=====

# 23
CoBr2: relaxed, PBE-GGA.

Lattice parameters (Å, degrees): 7.868 7.868 9.994 45.32 45.32 26.26
Site moments in Bohr magnetons follow the coordinates.
Fractional coordinates of all 6 atoms:
Co  0.679  0.679  0.732  2.38
Co  0.266  0.266  0.879  2.38
Br  0.884  0.884  0.610  0.24
Br  0.197  0.197  0.543  0.21
Br  0.061  0.061  0.001  0.24
Br  0.748  0.748  0.068  0.21

Formation energy from raw total energies: -0.7 eV/f.u.
SG: C2/m
ρ: 3.836 Mg/m³
M_tot: 6.01 μB per cell

=====

# 24
CoBr2: relaxed, PBE-GGA.

Lattice parameters (Å, degrees): 8.773 8.773 8.193 90.00 90.00 120.00
Site moments in Bohr magnetons follow the coordinates.
Fractional coordinates of all 12 atoms:
Br  0.191  0.382  0.750  0.17
Br  0.618  0.809  0.750  0.17
Br  0.809  0.191  0.250  0.17
Br  0.000  0.000  0.500  0.42
Br  0.809  0.618  0.250  0.17
Br  0.382  0.191  0.250  0.17
Br  0.000  0.000  0.000  0.42
Br  0.191  0.809  0.750  0.17
Co  0.667  0.333  0.116  2.27
Co  0.667  0.333  0.384  2.27
Co  0.333  0.667  0.884  2.27
Co  0.333  0.667  0.616  2.27

Formation energy from raw total energies: 0.9 eV/f.u.
SG: P6_3/mmc
ρ: 2.661 Mg/m³
M_tot: 12.14 μB per cell

=====

# 25
Co2Br: relaxed, PBE-GGA.

Lattice parameters (Å, degrees): 9.760 9.360 3.913 84.00 72.50 23.50
Site moments in Bohr magnetons follow the coordinates.
Fractional coordinates of all 6 atoms:
Br  0.579  0.134  0.866  0.15
Br  0.866  0.421  0.579  0.15
Co  0.722  0.278  0.722  1.87
Co  0.121  0.009  0.991  1.96
Co  0.389  0.611  0.389  1.84
Co  0.991  0.879  0.121  1.96

Formation energy from raw total energies: 0.3 eV/f.u.
SG: Fmm2
Polymorph energy (0 for the lowest one): 0.101 eV/atom
ρ: 5.411 Mg/m³
M_tot: 8.01 μB per cell

=====

# 26
CoBr2: relaxed, PBE-GGA.

Lattice parameters (Å, degrees): 3.862 5.885 6.179 90.00 90.00 90.00
Site moments in Bohr magnetons follow the coordinates.
Fractional coordinates of all 6 atoms:
Br  0.000  0.279  0.671  0.20
Br  0.000  0.721  0.329  0.20
Br  0.500  0.779  0.829  0.20
Br  0.500  0.221  0.171  0.20
Co  0.500  0.500  0.500  2.38
Co  0.000  0.000  0.000  2.38

Formation energy from raw total energies: -0.5 eV/f.u.
SG: Pnnm
ρ: 5.174 Mg/m³
M_tot: 5.82 μB per cell

=====

# 27
Co2Br: relaxed, PBE-GGA.

Lattice parameters (Å, degrees): 5.470 5.470 5.470 148.14 148.14 45.68
Site moments in Bohr magnetons follow the coordinates.
Fractional coordinates of all 3 atoms:
Co  0.185  0.185  0.000  1.82
Co  0.815  0.815  0.000  1.82
Br  0.500  0.500  0.000  0.10

Formation energy from raw total energies: 2.0 eV/f.u.
SG: I4/mmm
Polymorph energy (0 for the lowest one): 0.670 eV/atom
ρ: 7.223 Mg/m³
M_tot: 3.68 μB per cell